Here is Al2ReSb after structural relaxation from Alexandria. Energies are from PBE.

Unit cell a=4.633 b=3.323 c=4.759 alpha=90.00 beta=109.18 gamma=90.00
Fractional coordinates of all 4 atoms:
Al  0.000  0.000  0.000
Al  0.000  0.500  0.500
Re  0.500  0.000  0.500
Sb  0.500  0.500  0.000

Its symmetry is P2/m. The uncorrected formation energy is 0.342 eV/atom. The value obtained for the volume is 17.303 A^3/atom. The density of states at the Fermi level comes out at 3.3 states/eV/f.u. The value obtained for the energy is -5.67 eV per atom.